VASP calculation (GGA-PBEsol) on a geometry-optimized Ta2MoC structure.

Results
energy: -11.3701 eV per atom
crystal system: tetragonal
N(E_F): 2.030 states/eV/f.u.

a = 2.738 Å, b = 2.738 Å, c = 7.379 Å
α = 90.00°, β = 90.00°, γ = 90.00°
Space group P4/mmm (No. 123)
Symmetry-distinct sites (fractional):
Ta: 0.000 0.000 0.182 (multiplicity 2)
Mo: 0.500 0.500 0.500 (multiplicity 1)
C: 0.500 0.500 0.000 (multiplicity 1)